(1)
The following is a PBE calculation of a geometry-optimized LiTl2Ge structure, from the Alexandria database.

The calculation puts the energy of formation from the pure elements at 0.026 eV per atom. Its density of states at the Fermi level is 3.8 states/eV/f.u. The total moment comes out at 0.0 μB/f.u. Its total energy is -2.79 eV/atom.

The space group is Fm-3m (No. 225) and the conventional cell measures 7.274, 7.274 and 7.274 Å, with angles of 90.00, 90.00 and 90.00 degrees. The inequivalent atoms are Li at (0.000, 0.000, 0.000), Tl at (0.250, 0.250, 0.250) and Ge at (0.000, 0.000, 0.500).


(2)
The following is a PBE calculation of a geometry-optimized LiTl2Ge2 structure, from the Alexandria database.

The calculation puts the energy of formation from the pure elements at 0.082 eV per atom. Its density of states at the Fermi level is 2.2 states/eV/f.u. The total moment comes out at 0.0 μB/f.u. Its total energy is -3.09 eV/atom.

The space group is P4/mbm (No. 127) and the conventional cell measures 7.337, 7.337 and 4.485 Å, with angles of 90.00, 90.00 and 90.00 degrees. The inequivalent atoms are Li at (0.000, 0.000, 0.000), Tl at (0.180, 0.320, 0.500) and Ge at (0.123, 0.623, 0.000).


(3)
The following is a PBE calculation of a geometry-optimized LiTlGe structure, from the Alexandria database.

The calculation puts the energy of formation from the pure elements at -0.018 eV per atom. Its density of states at the Fermi level is 1.4 states/eV/f.u. The total moment comes out at 0.0 μB/f.u. Its total energy is -2.98 eV/atom.

The space group is P-1 (No. 2) and the conventional cell measures 4.136, 5.131 and 7.152 Å, with angles of 92.73, 90.61 and 113.36 degrees. The inequivalent atoms are Li at (0.048, 0.097, 0.312), Tl at (0.358, 0.722, 0.117) and Ge at (0.270, 0.536, 0.610).


(4)
The following is a PBE calculation of a geometry-optimized LiTl2Ge structure, from the Alexandria database.

The calculation puts the energy of formation from the pure elements at 0.134 eV per atom. Its density of states at the Fermi level is 2.4 states/eV/f.u. The total moment comes out at 0.0 μB/f.u. Its total energy is -2.68 eV/atom.

The space group is I-42d (No. 122) and the conventional cell measures 4.542, 4.542 and 19.875 Å, with angles of 90.00, 90.00 and 90.00 degrees. The inequivalent atoms are Li at (0.000, 0.000, 0.000), Tl at (0.243, 0.250, 0.125) and Ge at (0.000, 0.000, 0.500).


(5)
The following is a PBE calculation of a geometry-optimized LiTlGe4 structure, from the Alexandria database.

The calculation puts the energy of formation from the pure elements at 0.129 eV per atom. Its density of states at the Fermi level is 3.2 states/eV/f.u. The total moment comes out at 0.0 μB/f.u. Its total energy is -3.66 eV/atom.

The space group is F-43m (No. 216) and the conventional cell measures 8.010, 8.010 and 8.010 Å, with angles of 90.00, 90.00 and 90.00 degrees. The inequivalent atoms are Li at (0.000, 0.000, 0.000), Tl at (0.250, 0.250, 0.750) and Ge at (0.126, 0.126, 0.374).


(6)
The following is a PBE calculation of a geometry-optimized LiTlGe structure, from the Alexandria database.

The calculation puts the energy of formation from the pure elements at 0.009 eV per atom. Its density of states at the Fermi level is 0.4 states/eV/f.u. The total moment comes out at 0.0 μB/f.u. Its total energy is -2.96 eV/atom.

The space group is P6_3mc (No. 186) and the conventional cell measures 4.5825, 4.5825 and 7.6394 Å, with angles of 90.00, 90.00 and 120.00 degrees. The inequivalent atoms are Li at (0.0000, 0.0000, 0.0000), Tl at (0.3333, 0.6667, 0.2537) and Ge at (0.3333, 0.6667, 0.6248).